Density functional theory data (meta-GGA SCAN) for a PBEsol-optimized structure of V5CrP6O24.

Unit cell a=8.318 b=8.318 c=8.318 alpha=61.53 beta=61.53 gamma=61.53
Fractional positions:
O (0.115, 0.323, 0.500)
O (0.678, 0.500, 0.886)
V (0.999, 0.999, 0.999)
O (0.909, 0.253, 0.057)
O (0.408, 0.559, 0.754)
P (0.539, 0.959, 0.250)
V (0.361, 0.361, 0.361)
O (0.247, 0.595, 0.441)
O (0.323, 0.500, 0.115)
V (0.641, 0.641, 0.641)
O (0.559, 0.754, 0.408)
O (0.822, 0.616, 0.000)
O (0.616, 0.000, 0.822)
P (0.959, 0.250, 0.539)
O (0.745, 0.942, 0.093)
P (0.752, 0.457, 0.042)
P (0.457, 0.042, 0.752)
O (0.179, 0.384, 0.996)
O (0.441, 0.247, 0.595)
O (0.093, 0.745, 0.942)
O (0.057, 0.909, 0.253)
V (0.500, 0.500, 0.500)
P (0.042, 0.752, 0.457)
O (0.942, 0.093, 0.745)
O (0.384, 0.996, 0.179)
O (0.754, 0.408, 0.559)
O (0.253, 0.057, 0.909)
O (0.000, 0.822, 0.616)
O (0.595, 0.441, 0.247)
P (0.250, 0.539, 0.959)
O (0.996, 0.179, 0.384)
O (0.886, 0.678, 0.500)
V (0.860, 0.860, 0.860)
O (0.500, 0.115, 0.323)
O (0.500, 0.886, 0.678)
Cr (0.140, 0.140, 0.140)

## Properties
ΔE_f (raw)   -2.545 eV per atom
Space-group type   R3, No. 146
Calculated density   3458 kg/m³